Entry 1:
Computed, not measured: crystalline Ba3ScPt2O6 at its relaxed geometry at the PBE-GGA level of DFT.

DOS at the Fermi energy in states/eV/atom: 0.749
ΔE_f (raw) in kJ/mol of formula units: -2053
Spin magnetization in μB/f.u.: 0.0

```
Ba3ScPt2O6
1.0
5.896 0.000 0.000
-2.948 5.106 0.000
0.000 0.000 6.873
O Sc Ba Pt
6 1 3 2
Cartesian
-1.488 4.263 2.185
0.000 1.686 2.185
1.460 0.843 4.688
1.488 4.263 2.185
2.948 3.420 4.688
4.436 0.843 4.688
0.000 0.000 3.436
0.000 3.404 4.466
2.948 1.702 2.406
0.000 0.000 0.000
2.948 1.702 5.872
0.000 3.404 1.001
```

Entry 2:
Computed, not measured: crystalline CeTmHgBi at its relaxed geometry at the PBE-GGA level of DFT.

DOS at the Fermi energy in states/eV/atom: 2.526
Spin magnetization in μB/f.u.: 1.4
Energy of formation from the pure elements in eV per atom: -0.437

```
CeTmHgBi
1.0
5.408 0.000 0.000
2.704 4.683 0.000
2.704 1.561 4.415
Hg Tm Bi Ce
1 1 1 1
Cartesian
8.111 4.683 3.311
5.408 3.122 2.208
2.704 1.561 1.104
0.000 0.000 0.000
```

Entry 3:
Computed, not measured: crystalline MnGePHCN at its relaxed geometry at the PBE-GGA level of DFT.

DOS at the Fermi energy in states/eV/atom: 0.553
Spin magnetization in μB/f.u.: 0.0
DFT total energy in eV per atom: -6.3863

```
MnGePHCN
1.0
4.161 0.000 0.006
0.000 3.259 0.000
-0.809 0.000 5.242
H Ge N P C Mn
1 1 1 1 1 1
Cartesian
1.247 0.000 0.811
2.860 1.629 5.133
0.824 0.000 4.002
3.145 1.629 2.223
-0.079 0.000 5.073
1.197 1.629 3.325
```

Entry 4:
Computed, not measured: crystalline TcAsO2F at its relaxed geometry at the PBE-GGA level of DFT.

DOS at the Fermi energy in states/eV/atom: 0.497
ΔE_f (raw) in kJ/mol of formula units: -274
Spin magnetization in μB/f.u.: 0.9

```
TcAsO2F
1.0
3.807 0.000 0.000
0.000 3.807 0.000
0.000 0.000 4.662
O Tc As F
2 1 1 1
Cartesian
0.000 1.904 0.000
1.904 0.000 0.000
0.000 0.000 0.000
1.904 1.904 2.331
0.000 0.000 2.331
```

Entry 5:
Computed, not measured: crystalline Ba2CdGeSb at its relaxed geometry at the PBE-GGA level of DFT.

DOS at the Fermi energy in states/eV/atom: 0.802
ΔE_f (raw) in kJ/mol of formula units: -36
Spin magnetization in μB/f.u.: 0.0

```
Ba2CdGeSb
1.0
6.611 0.000 0.000
0.000 5.408 0.000
0.000 0.000 6.611
Ba Sb Cd Ge
2 1 1 1
Cartesian
0.000 0.000 3.306
3.306 0.000 0.000
0.000 0.000 0.000
3.306 2.704 3.306
0.000 2.704 0.000
```

Entry 6:
Computed, not measured: crystalline Pa4Si4Os at its relaxed geometry at the PBE-GGA level of DFT.

DOS at the Fermi energy in states/eV/atom: 1.253
ΔE_f (raw) in kJ/mol of formula units: -95
Spin magnetization in μB/f.u.: 0.0

```
Pa4Si4Os
1.0
5.700 0.000 0.000
2.850 5.880 0.000
2.850 0.000 5.880
Os Pa Si
1 4 4
Cartesian
0.000 0.000 0.000
8.550 3.812 4.718
2.850 2.068 1.161
5.700 4.718 2.068
5.700 1.161 3.812
5.700 2.117 1.154
8.550 4.725 2.117
2.850 1.154 3.763
5.700 3.763 4.725
```

Entry 7:
Computed, not measured: crystalline In2BiIr2 at its relaxed geometry at the PBE-GGA level of DFT.

DOS at the Fermi energy in states/eV/atom: 0.566
Spin magnetization in μB/f.u.: 0.0
Energy of formation from the pure elements in eV per atom: 0.021

```
In2BiIr2
1.0
-1.402 -1.829 7.649
6.870 -4.066 0.287
1.497 2.594 0.894
In Ir Bi
4 4 2
Cartesian
1.241 0.060 3.210
1.993 -1.714 7.095
4.973 -1.586 1.736
5.725 -3.360 5.621
3.287 -4.200 6.677
5.341 -4.087 2.909
0.128 -1.807 5.027
2.182 -1.694 1.259
2.734 -2.947 3.968
0.000 0.000 0.000
```

Entry 8:
Computed, not measured: crystalline NpInSn at its relaxed geometry at the PBE-GGA level of DFT.

DOS at the Fermi energy in states/eV/atom: 2.248
Spin magnetization in μB/f.u.: 5.1
Energy of formation from the pure elements in eV per atom: 0.142

```
NpInSn
1.0
-1.530 -0.165 3.183
-1.460 -3.102 -0.863
6.482 -1.337 1.082
Np In Sn
1 1 1
Cartesian
0.020 -0.012 0.009
3.249 -1.935 1.461
0.223 -2.657 1.933
```

Entry 9:
Computed, not measured: crystalline BaIn2Au6 at its relaxed geometry at the PBE-GGA level of DFT.

DOS at the Fermi energy in states/eV/atom: 0.416
Spin magnetization in μB/f.u.: 0.0
Energy of formation from the pure elements in eV per atom: -0.039

```
BaIn2Au6
1.0
-5.649 -6.016 -3.462
2.279 -4.566 -7.351
1.870 -8.734 0.557
Au Ba In
12 2 4
Cartesian
2.040 -6.624 -3.385
-2.286 -12.239 -4.000
1.118 -2.319 -3.660
0.917 -4.373 0.238
-2.790 -3.034 -1.743
-3.234 -7.811 -4.283
0.786 -7.076 -6.255
1.734 -11.504 -5.973
-1.667 -5.284 -5.366
-2.079 -10.126 -8.011
0.579 -9.189 -2.245
-1.868 -7.338 -1.468
-0.750 -9.658 -5.128
-1.125 -14.486 -7.692
0.748 -6.781 -1.003
-3.012 -5.422 -3.013
0.952 -4.697 -4.958
-0.187 -2.414 -1.282
```

Entry 10:
Computed, not measured: crystalline NpZnIr at its relaxed geometry at the PBE-GGA level of DFT.

DOS at the Fermi energy in states/eV/atom: 2.485
Spin magnetization in μB/f.u.: 3.8
Energy of formation from the pure elements in eV per atom: -0.032

```
NpZnIr
1.0
4.522 0.000 0.000
2.261 3.916 0.000
2.261 1.305 3.692
Np Zn Ir
1 1 1
Cartesian
4.522 2.611 1.846
0.000 0.000 0.000
2.261 1.305 0.923
```

Entry 11:
Computed, not measured: crystalline CaMg3Bi at its relaxed geometry at the PBE-GGA level of DFT.

DOS at the Fermi energy in states/eV/atom: 0.725
Spin magnetization in μB/f.u.: 0.0
Energy of formation from the pure elements in eV per atom: 0.266

```
CaMg3Bi
1.0
-2.736 -4.165 2.638
-1.842 -1.935 -4.965
4.573 -3.272 -0.422
Mg Ca Bi
3 1 1
Cartesian
2.286 -1.636 -0.211
-1.368 -2.082 1.319
-0.921 -0.968 -2.483
-0.003 -4.686 -1.374
0.000 0.000 0.000
```

Entry 12:
Computed, not measured: crystalline CaReIr2 at its relaxed geometry at the PBE-GGA level of DFT.

DOS at the Fermi energy in states/eV/atom: 1.641
Spin magnetization in μB/f.u.: 1.3
Energy of formation from the pure elements in eV per atom: 0.404

```
CaReIr2
1.0
0.000 3.222 3.222
3.222 0.000 3.222
3.222 3.222 0.000
Re Ir Ca
1 2 1
Cartesian
3.222 3.222 3.222
1.611 1.611 1.611
4.833 4.833 4.833
0.000 0.000 0.000
```

- Number 9 is which compound?
  BaIn2Au6

- Which formula does entry 2 have?
  CeTmHgBi

- DOS at the Fermi energy of number 1 (Ba3ScPt2O6)?
  0.749 states/eV/atom

- Which of these has the highest DOS at the Fermi energy?
  CeTmHgBi